No. 1
VASP calculation (PBE) on crystalline YTmIrAu at its relaxed geometry.

Summary:
density of states at the Fermi level = 1.27 states/eV per atom
distance to the lowest polymorph of the same formula = 0.000 eV/atom
raw total energy = -26.5 eV for the cell shown
DFT formation energy = -3.44 eV/f.u.

a b c (Å): 3.498 3.498 7.012
angles (deg): 90.00 90.00 90.00
Space group P4mm (No. 99)
Inequivalent atoms, fractional coordinates:
Y 0.000 0.000 0.000 x1
Tm 0.000 0.000 0.533 x1
Ir 0.500 0.500 0.760 x1
Au 0.500 0.500 0.275 x1

***

No. 2
VASP calculation (PBE) on crystalline TmZnIrAu at its relaxed geometry.

Summary:
density of states at the Fermi level = 0.62 states/eV per atom
raw total energy = -79.5 eV for the cell shown
DFT formation energy = -2.00 eV/f.u.

a b c (Å): 6.609 6.609 6.609
angles (deg): 90.00 90.00 90.00
Space group F-43m (No. 216)
Inequivalent atoms, fractional coordinates:
Tm 0.000 0.000 0.000 x4
Zn 0.000 0.000 0.500 x4
Ir 0.250 0.250 0.750 x4
Au 0.250 0.250 0.250 x4